Computed, not measured: Li2Nd2YBi2 after structural relaxation at the PBE level of DFT.

Values from the calculation:
Energy of formation = -3.045 eV per formula unit
V = 27.17 Å³ per atom

Cell and atoms, written as CIF:
```
data_Li2Nd2YBi2
_space_group_name_H-M_alt 'R -3 m'
_space_group_IT_number 166
_space_group_name_Hall '-R 3 2"'
_cell_length_a 4.9052
_cell_length_b 4.9052
_cell_length_c 27.3809
_cell_angle_alpha 90.00
_cell_angle_beta 90.00
_cell_angle_gamma 120.00
loop_
_atom_site_label
_atom_site_fract_x
_atom_site_fract_y
_atom_site_fract_z
_atom_site_occupancy
Li1 0.0000 0.0000 0.0964 1
Nd1 0.0000 0.0000 0.3704 1
Y1 0.0000 0.0000 0.5000 1
Bi1 0.0000 0.0000 0.2316 1
```

---

Computed, not measured: Hf12GaFe6 after structural relaxation at the PBE level of DFT.

Values from the calculation:
Energy of formation = -2.806 eV per formula unit
V = 18.41 Å³ per atom

Cell and atoms, written as CIF:
```
data_Hf12GaFe6
_space_group_name_H-M_alt 'I m -3'
_space_group_IT_number 204
_space_group_name_Hall '-I 2 2 3'
_cell_length_a 8.8776
_cell_length_b 8.8776
_cell_length_c 8.8776
_cell_angle_alpha 90.00
_cell_angle_beta 90.00
_cell_angle_gamma 90.00
loop_
_atom_site_label
_atom_site_fract_x
_atom_site_fract_y
_atom_site_fract_z
_atom_site_occupancy
Hf1 0.0000 0.2919 0.1926 1
Ga1 0.0000 0.0000 0.0000 1
Fe1 0.0000 0.1245 0.5000 1
```

---

Computed, not measured: Dy6TlSb3 after structural relaxation at the PBE level of DFT.

Values from the calculation:
Energy = -5.01 eV/atom
V = 28.30 Å³ per atom

Cell and atoms, written as CIF:
```
data_Dy6TlSb3
_space_group_name_H-M_alt 'C m c m'
_space_group_IT_number 63
_space_group_name_Hall '-C 2c 2'
_cell_length_a 11.6905
_cell_length_b 11.4759
_cell_length_c 8.4385
_cell_angle_alpha 90.00
_cell_angle_beta 90.00
_cell_angle_gamma 90.00
loop_
_atom_site_label
_atom_site_fract_x
_atom_site_fract_y
_atom_site_fract_z
_atom_site_occupancy
Dy1 0.0000 0.1589 0.0010 1
Dy2 0.1601 0.5000 0.0000 1
Dy3 0.2502 0.2475 0.2500 1
Tl1 0.0000 0.3535 0.7500 1
Sb1 0.0000 0.3595 0.2500 1
Sb2 0.1452 0.0025 0.7500 1
```

---

Computed, not measured: Tb8PrHo4 after structural relaxation at the PBE level of DFT.

Values from the calculation:
Energy of formation = 2.486 eV per formula unit
V = 32.29 Å³ per atom

Cell and atoms, written as CIF:
```
data_Tb8PrHo4
_space_group_name_H-M_alt 'R -3 m'
_space_group_IT_number 166
_space_group_name_Hall '-R 3 2"'
_cell_length_a 7.3027
_cell_length_b 7.3027
_cell_length_c 27.2697
_cell_angle_alpha 90.00
_cell_angle_beta 90.00
_cell_angle_gamma 120.00
loop_
_atom_site_label
_atom_site_fract_x
_atom_site_fract_y
_atom_site_fract_z
_atom_site_occupancy
Tb1 0.0000 0.0000 0.2180 1
Tb2 0.0364 0.5182 0.7674 1
Pr1 0.0000 0.0000 0.5000 1
Ho1 0.0000 0.0000 0.0000 1
Ho2 0.0000 0.5000 0.0000 1
```

---

Computed, not measured: YHoTc after structural relaxation at the PBE level of DFT.

Values from the calculation:
Excess energy over the best structure of this formula in the dataset = 0.000 eV/f.u.
Energy of formation = -0.114 eV per formula unit
V = 24.89 Å³ per atom

Cell and atoms, written as CIF:
```
data_YHoTc
_space_group_name_H-M_alt 'I 4 m m'
_space_group_IT_number 107
_space_group_name_Hall 'I 4 -2'
_cell_length_a 3.4718
_cell_length_b 3.4718
_cell_length_c 12.3876
_cell_angle_alpha 90.00
_cell_angle_beta 90.00
_cell_angle_gamma 90.00
loop_
_atom_site_label
_atom_site_fract_x
_atom_site_fract_y
_atom_site_fract_z
_atom_site_occupancy
Y1 0.0000 0.0000 0.0000 1
Ho1 0.0000 0.0000 0.7386 1
Tc1 0.0000 0.0000 0.3669 1
```

---

Computed, not measured: MgBe2Zn after structural relaxation at the PBE level of DFT.

Values from the calculation:
Excess energy over the best structure of this formula in the dataset = 0.772 eV/f.u.
Energy of formation = 1.649 eV per formula unit
V = 16.38 Å³ per atom

Cell and atoms, written as CIF:
```
data_MgBe2Zn
_space_group_name_H-M_alt 'I 41/a m d'
_space_group_IT_number 141
_cell_length_a 4.0665
_cell_length_b 4.0665
_cell_length_c 15.8436
_cell_angle_alpha 90.00
_cell_angle_beta 90.00
_cell_angle_gamma 90.00
loop_
_space_group_symop_operation_xyz
'x,y,z'
'-x,-y,-z'
'-y+1/4,x+3/4,z+1/4'
'y+1/4,-x+3/4,-z+1/4'
'-x+1/2,-y,z+1/2'
'x+1/2,y,-z+1/2'
'y+1/4,-x+1/4,z+3/4'
'-y+1/4,x+1/4,-z+3/4'
'x,-y,-z'
'-x,y,z'
'-y+1/4,-x+1/4,-z+3/4'
'y+1/4,x+1/4,z+3/4'
'-x+1/2,y,-z+1/2'
'x+1/2,-y,z+1/2'
'y+1/4,x+3/4,-z+1/4'
'-y+1/4,-x+3/4,z+1/4'
'x+1/2,y+1/2,z+1/2'
'-x+1/2,-y+1/2,-z+1/2'
'-y+3/4,x+1/4,z+3/4'
'y+3/4,-x+1/4,-z+3/4'
'-x,-y+1/2,z'
'x,y+1/2,-z'
'y+3/4,-x+3/4,z+1/4'
'-y+3/4,x+3/4,-z+1/4'
'x+1/2,-y+1/2,-z+1/2'
'-x+1/2,y+1/2,z+1/2'
'-y+3/4,-x+3/4,-z+1/4'
'y+3/4,x+3/4,z+1/4'
'-x,y+1/2,-z'
'x,-y+1/2,z'
'y+3/4,x+1/4,-z+3/4'
'-y+3/4,-x+1/4,z+3/4'
loop_
_atom_site_label
_atom_site_fract_x
_atom_site_fract_y
_atom_site_fract_z
_atom_site_occupancy
Mg1 0.0000 0.2500 0.3750 1
Be1 0.0000 0.0000 0.0000 1
Zn1 0.0000 0.2500 0.8750 1
```

---

Computed, not measured: La7Sm12Tl after structural relaxation at the PBE level of DFT.

Values from the calculation:
Energy of formation = 2.872 eV per formula unit
V = 35.38 Å³ per atom

Cell and atoms, written as CIF:
```
data_La7Sm12Tl
_space_group_name_H-M_alt 'R -3'
_space_group_IT_number 148
_space_group_name_Hall '-R 3'
_cell_length_a 12.5151
_cell_length_b 12.5151
_cell_length_c 15.6498
_cell_angle_alpha 90.00
_cell_angle_beta 90.00
_cell_angle_gamma 120.00
loop_
_atom_site_label
_atom_site_fract_x
_atom_site_fract_y
_atom_site_fract_z
_atom_site_occupancy
La1 0.0000 0.0000 0.0000 1
La2 0.0121 0.4285 0.6996 1
Sm1 0.0364 0.1864 0.8070 1
Sm2 0.0700 0.8107 0.4251 1
Tl1 0.0000 0.0000 0.5000 1
```

---

Computed, not measured: Ce3GaGe2Au6 after structural relaxation at the PBE level of DFT.

Values from the calculation:
Energy of formation = -4.711 eV per formula unit
V = 23.25 Å³ per atom

Cell and atoms, written as CIF:
```
data_Ce3GaGe2Au6
_space_group_name_H-M_alt 'P -3 m 1'
_space_group_IT_number 164
_space_group_name_Hall '-P 3 2"'
_cell_length_a 6.2271
_cell_length_b 6.2271
_cell_length_c 8.3079
_cell_angle_alpha 90.00
_cell_angle_beta 90.00
_cell_angle_gamma 120.00
loop_
_atom_site_label
_atom_site_fract_x
_atom_site_fract_y
_atom_site_fract_z
_atom_site_occupancy
Ce1 0.0000 0.0000 0.0000 1
Ce2 0.3333 0.6667 0.6428 1
Ga1 0.0000 0.0000 0.5000 1
Ge1 0.3333 0.6667 0.0354 1
Au1 0.1770 0.3540 0.2839 1
```

---

Computed, not measured: ScTcCl3 after structural relaxation at the PBE level of DFT.

Values from the calculation:
Excess energy over the best structure of this formula in the dataset = 1.626 eV/f.u.
V = 21.40 Å³ per atom

Cell and atoms, written as CIF:
```
data_ScTcCl3
_space_group_name_H-M_alt 'P m -3 m'
_space_group_IT_number 221
_space_group_name_Hall '-P 4 2 3'
_cell_length_a 4.7472
_cell_length_b 4.7472
_cell_length_c 4.7472
_cell_angle_alpha 90.00
_cell_angle_beta 90.00
_cell_angle_gamma 90.00
loop_
_atom_site_label
_atom_site_fract_x
_atom_site_fract_y
_atom_site_fract_z
_atom_site_occupancy
Sc1 0.0000 0.0000 0.0000 1
Tc1 0.5000 0.5000 0.5000 1
Cl1 0.0000 0.5000 0.5000 1
```

---

Computed, not measured: PmPuBr6 after structural relaxation at the PBE level of DFT.

Values from the calculation:
Excess energy over the best structure of this formula in the dataset = 0.000 eV/f.u.
V = 40.74 Å³ per atom

Cell and atoms, written as CIF:
```
data_PmPuBr6
_space_group_name_H-M_alt 'C 1 2/m 1'
_space_group_IT_number 12
_cell_length_a 7.1736
_cell_length_b 13.1696
_cell_length_c 7.1971
_cell_angle_alpha 90.00
_cell_angle_beta 106.52
_cell_angle_gamma 90.00
loop_
_space_group_symop_operation_xyz
'x,y,z'
'-x,-y,-z'
'-x,y,-z'
'x,-y,z'
'x+1/2,y+1/2,z'
'-x+1/2,-y+1/2,-z'
'-x+1/2,y+1/2,-z'
'x+1/2,-y+1/2,z'
loop_
_atom_site_label
_atom_site_fract_x
_atom_site_fract_y
_atom_site_fract_z
_atom_site_occupancy
Pm1 0.0000 0.0000 0.0000 1
Pu1 0.0000 0.5000 0.5000 1
Br1 0.2485 0.5000 0.2485 1
Br2 0.2500 0.1469 0.2509 1
```

---

Computed, not measured: ZrWCl2 after structural relaxation at the PBE level of DFT.

Values from the calculation:
Excess energy over the best structure of this formula in the dataset = 4.108 eV/f.u.
V = 17.60 Å³ per atom

Cell and atoms, written as CIF:
```
data_ZrWCl2
_space_group_name_H-M_alt 'I -4 m 2'
_space_group_IT_number 119
_space_group_name_Hall 'I -4 -2'
_cell_length_a 3.7329
_cell_length_b 3.7329
_cell_length_c 10.1018
_cell_angle_alpha 90.00
_cell_angle_beta 90.00
_cell_angle_gamma 90.00
loop_
_atom_site_label
_atom_site_fract_x
_atom_site_fract_y
_atom_site_fract_z
_atom_site_occupancy
Zr1 0.0000 0.0000 0.0000 1
W1 0.0000 0.5000 0.2500 1
Cl1 0.0000 0.0000 0.5000 1
Cl2 0.0000 0.5000 0.7500 1
```

---

Computed, not measured: GdDyHo after structural relaxation at the PBE level of DFT.

Values from the calculation:
Energy of formation = 0.065 eV per formula unit
V = 31.64 Å³ per atom

Cell and atoms, written as CIF:
```
data_GdDyHo
_space_group_name_H-M_alt 'I 4 m m'
_space_group_IT_number 107
_space_group_name_Hall 'I 4 -2'
_cell_length_a 3.5536
_cell_length_b 3.5536
_cell_length_c 15.0322
_cell_angle_alpha 90.00
_cell_angle_beta 90.00
_cell_angle_gamma 90.00
loop_
_atom_site_label
_atom_site_fract_x
_atom_site_fract_y
_atom_site_fract_z
_atom_site_occupancy
Gd1 0.0000 0.0000 0.0000 1
Dy1 0.0000 0.0000 0.6685 1
Ho1 0.0000 0.0000 0.3320 1
```

---

| no. | spin magnetization (μB/f.u.) |
| --- | --- |
| 1 | 0.00 |
| 2 | 4.29 |
| 3 | 0.00 |
| 4 | 0.00 |
| 5 | 0.00 |
| 6 | 0.00 |
| 7 | 0.00 |
| 8 | 3.14 |
| 9 | 0.00 |
| 10 | 5.00 |
| 11 | 0.00 |
| 12 | 7.26 |